Here is a crystal of LiFeSi2 relaxed with PBEsol from Alexandria via LeMat-Bulk. Energies are from meta-GGA SCAN.

Unit cell a=3.9242 b=3.9242 c=3.9242 alpha=60.00 beta=60.00 gamma=60.00
Positions (direct):
Li: 0.0000 0.0000 0.0000
Si: 0.7500 0.7500 0.7500
Fe: 0.5000 0.5000 0.5000
Si: 0.2500 0.2500 0.2500

uncorrected formation energy = -0.139 eV/atom
total DFT energy (no corrections) = -10.276 eV/atom
D(E_F) = 0.3901 states/eV/atom
M_tot = 0.0 μB per cell

Here is a crystal of HoInNi4 relaxed with PBEsol from Alexandria via LeMat-Bulk. Energies are from meta-GGA SCAN.

Unit cell a=4.8917 b=4.8917 c=4.8917 alpha=60.00 beta=60.00 gamma=60.00
Positions (direct):
In: 0.0000 0.0000 0.0000
Ho: 0.7500 0.7500 0.7500
Ni: 0.3742 0.3742 0.3742
Ni: 0.8775 0.3742 0.3742
Ni: 0.3742 0.3742 0.8775
Ni: 0.3742 0.8775 0.3742

total DFT energy (no corrections) = -24.903 eV/atom
D(E_F) = 0.7408 states/eV/atom
formation energy from the elements = -0.392 eV per atom
M_tot = 0.0 μB per cell

Here is a crystal of CsNa3Sc relaxed with PBEsol from Alexandria via LeMat-Bulk. Energies are from meta-GGA SCAN.

Unit cell a=6.4737 b=6.4737 c=6.4737 alpha=90.00 beta=90.00 gamma=90.00
Positions (direct):
Cs: 0.5000 0.5000 0.5000
Na: 0.0000 0.0000 0.5000
Sc: 0.0000 0.0000 0.0000
Na: 0.0000 0.5000 0.0000
Na: 0.5000 0.0000 0.0000

total DFT energy (no corrections) = -12.362 eV/atom
D(E_F) = 1.0336 states/eV/atom
formation energy from the elements = 0.577 eV per atom
M_tot = 1.6 μB per cell

Here is a crystal of Al5Te relaxed with PBEsol from Alexandria via LeMat-Bulk. Energies are from meta-GGA SCAN.

Unit cell a=3.0990 b=4.4651 c=8.4669 alpha=90.00 beta=100.55 gamma=90.00
Positions (direct):
Al: 0.9768 0.0000 0.9535
Al: 0.4359 0.5000 0.8718
Al: 0.6898 0.0000 0.3797
Al: 0.7925 0.5000 0.5851
Al: 0.3304 0.0000 0.6608
Te: 0.1079 0.5000 0.2158

uncorrected formation energy = 0.190 eV/atom
total DFT energy (no corrections) = -12.478 eV/atom
D(E_F) = 0.4585 states/eV/atom
M_tot = 0.0 μB per cell

Here is a crystal of AlNiSe3 relaxed with PBEsol from Alexandria via LeMat-Bulk. Energies are from meta-GGA SCAN.

Unit cell a=4.7664 b=4.7664 c=4.7664 alpha=90.00 beta=90.00 gamma=90.00
Positions (direct):
Al: 0.0000 0.0000 0.0000
Se: 0.0000 0.5000 0.0000
Ni: 0.5000 0.5000 0.5000
Se: 0.0000 0.0000 0.5000
Se: 0.5000 0.0000 0.0000

uncorrected formation energy = 0.539 eV/atom
total DFT energy (no corrections) = -16.293 eV/atom
D(E_F) = 1.1901 states/eV/atom
M_tot = 2.0 μB per cell

Here is a crystal of Li5V2Ni5O12 relaxed with PBEsol from Alexandria via LeMat-Bulk. Energies are from meta-GGA SCAN.

Unit cell a=4.8962 b=4.9969 c=9.6014 alpha=84.68 beta=79.09 gamma=60.66
Positions (direct):
Li: 0.8281 0.8488 0.2431
O: 0.7883 0.1846 0.3792
O: 0.8892 0.5081 0.1173
Ni: 0.5792 0.8416 0.0000
Li: 0.3231 0.8488 0.7569
Ni: 0.5080 0.4967 0.2439
Li: 0.9176 0.1649 0.0000
O: 0.6026 0.5081 0.8827
O: 0.4739 0.8148 0.3798
V: 0.7492 0.5017 0.5000
O: 0.7113 0.8148 0.6202
O: 0.2923 0.1862 0.8832
Li: 0.6758 0.1532 0.7558
O: 0.2192 0.8082 0.1186
O: 0.3861 0.4980 0.6162
Ni: 0.9953 0.4967 0.7561
O: 0.5216 0.1862 0.1168
O: 0.1159 0.4980 0.3838
Ni: 0.0810 0.8381 0.5000
O: 0.9726 0.8082 0.8814
O: 0.0272 0.1846 0.6208
Ni: 0.4203 0.1595 0.5000
Li: 0.1709 0.1532 0.2442
V: 0.2514 0.4972 0.0000

uncorrected formation energy = -1.982 eV/atom
total DFT energy (no corrections) = -10.422 eV/atom
D(E_F) = 0.1096 states/eV/atom
M_tot = 3.0 μB per cell

Here is a crystal of CoW relaxed with PBEsol from Alexandria via LeMat-Bulk. Energies are from meta-GGA SCAN.

Unit cell a=2.9812 b=3.1572 c=5.4810 alpha=90.00 beta=90.00 gamma=90.00
Positions (direct):
Co: 0.0000 0.0000 0.6230
W: 0.0000 0.0000 0.1574
W: 0.5000 0.5000 0.8426
Co: 0.5000 0.5000 0.3770

total DFT energy (no corrections) = -43.213 eV/atom
D(E_F) = 0.8718 states/eV/atom
formation energy from the elements = 0.283 eV per atom
M_tot = 0.0 μB per cell

Here is a crystal of TiMn2OsC relaxed with PBEsol from Alexandria via LeMat-Bulk. Energies are from meta-GGA SCAN.

Unit cell a=4.4555 b=4.3678 c=4.3678 alpha=90.00 beta=90.00 gamma=90.00
Positions (direct):
Mn: 0.0000 0.5000 0.0000
Os: 0.5000 0.0000 0.0000
Mn: 0.0000 0.0000 0.5000
C: 0.5000 0.5000 0.5000
Ti: 0.0000 0.0000 0.0000

total DFT energy (no corrections) = -24.455 eV/atom
D(E_F) = 0.7054 states/eV/atom
formation energy from the elements = 2.449 eV per atom
M_tot = 6.5 μB per cell

Here is a crystal of RuBr2 relaxed with PBEsol from Alexandria via LeMat-Bulk. Energies are from meta-GGA SCAN.

Unit cell a=3.5459 b=3.5459 c=13.7383 alpha=90.00 beta=90.00 gamma=120.00
Positions (direct):
Ru: 0.0000 0.0000 0.7500
Br: 0.3333 0.6667 0.6243
Br: 0.6667 0.3333 0.3757
Br: 0.3333 0.6667 0.8757
Br: 0.6667 0.3333 0.1243
Ru: 0.0000 0.0000 0.2500

uncorrected formation energy = 0.176 eV/atom
total DFT energy (no corrections) = -24.406 eV/atom
M_tot = 8.0 μB per cell

Here is a crystal of BeZnBr2 relaxed with PBEsol from Alexandria via LeMat-Bulk. Energies are from meta-GGA SCAN.

Unit cell a=3.3469 b=4.7469 c=4.7469 alpha=90.00 beta=90.00 gamma=90.00
Positions (direct):
Be: 0.5000 0.0000 0.0000
Br: 0.0000 0.5000 0.0000
Br: 0.0000 0.0000 0.5000
Zn: 0.5000 0.5000 0.5000

uncorrected formation energy = 0.466 eV/atom
total DFT energy (no corrections) = -13.731 eV/atom
D(E_F) = 0.3244 states/eV/atom
M_tot = 0.0 μB per cell

Here is a crystal of Ca2TaSe relaxed with PBEsol from Alexandria via LeMat-Bulk. Energies are from meta-GGA SCAN.

Unit cell a=3.4201 b=4.9052 c=6.1944 alpha=113.32 beta=106.03 gamma=90.00
Positions (direct):
Ca: 0.2044 0.2044 0.4088
Ta: 0.0000 0.5000 0.0000
Se: 0.5000 0.0000 0.0000
Ca: 0.7956 0.7956 0.5912

uncorrected formation energy = 0.227 eV/atom
total DFT energy (no corrections) = -26.270 eV/atom
D(E_F) = 0.8193 states/eV/atom
M_tot = 0.0 μB per cell

Here is a crystal of Cu2TcAs relaxed with PBEsol from Alexandria via LeMat-Bulk. Energies are from meta-GGA SCAN.

Unit cell a=2.8617 b=4.0958 c=5.0945 alpha=113.70 beta=106.31 gamma=90.00
Positions (direct):
As: 0.0000 0.5000 0.0000
Tc: 0.5000 0.0000 0.0000
Cu: 0.2628 0.2628 0.5256
Cu: 0.7372 0.7372 0.4744

total DFT energy (no corrections) = -21.263 eV/atom
D(E_F) = 0.5809 states/eV/atom
formation energy from the elements = 0.149 eV per atom
M_tot = 0.0 μB per cell

Here is a crystal of TlIn5 relaxed with PBEsol from Alexandria via LeMat-Bulk. Energies are from meta-GGA SCAN.

Unit cell a=5.3348 b=5.8041 c=5.8041 alpha=120.00 beta=90.00 gamma=90.00
Positions (direct):
In: 0.0000 0.3386 0.3386
In: 0.0000 0.6614 0.0000
In: 0.5000 0.3333 0.6667
In: 0.5000 0.6667 0.3333
In: 0.0000 0.0000 0.6614
Tl: 0.5000 0.0000 0.0000

total DFT energy (no corrections) = -39.802 eV/atom
D(E_F) = 0.3754 states/eV/atom
formation energy from the elements = 0.079 eV per atom
M_tot = 0.0 μB per cell

Here is a crystal of YTa2 relaxed with PBEsol from Alexandria via LeMat-Bulk. Energies are from meta-GGA SCAN.

Unit cell a=3.0334 b=4.8483 c=4.8483 alpha=120.00 beta=90.00 gamma=90.00
Positions (direct):
Ta: 0.4157 0.3333 0.6667
Ta: 0.5843 0.6667 0.3333
Y: 0.0000 0.0000 0.0000

total DFT energy (no corrections) = -53.272 eV/atom
D(E_F) = 1.1921 states/eV/atom
formation energy from the elements = 0.397 eV per atom
M_tot = 0.0 μB per cell

Here is a crystal of LiHf2PtN relaxed with PBEsol from Alexandria via LeMat-Bulk. Energies are from meta-GGA SCAN.

Unit cell a=3.7235 b=4.3721 c=4.3721 alpha=90.00 beta=90.00 gamma=90.00
Positions (direct):
Hf: 0.0000 0.0000 0.5000
Li: 0.5000 0.0000 0.0000
Hf: 0.0000 0.5000 0.0000
N: 0.0000 0.0000 0.0000
Pt: 0.5000 0.5000 0.5000

uncorrected formation energy = -1.321 eV/atom
total DFT energy (no corrections) = -42.765 eV/atom
D(E_F) = 0.4166 states/eV/atom
M_tot = 0.0 μB per cell

Here is a crystal of BeFe2Cl relaxed with PBEsol from Alexandria via LeMat-Bulk. Energies are from meta-GGA SCAN.

Unit cell a=2.8950 b=3.0139 c=5.9480 alpha=90.07 beta=90.00 gamma=90.00
Positions (direct):
Fe: 0.0000 0.8753 0.0676
Cl: 0.5000 0.8731 0.7114
Fe: 0.5000 0.3758 0.2704
Be: 0.0000 0.8758 0.4506

uncorrected formation energy = -0.003 eV/atom
total DFT energy (no corrections) = -12.151 eV/atom
D(E_F) = 0.3152 states/eV/atom
M_tot = 5.2 μB per cell

Here is a crystal of Cs2YTlBr6 relaxed with PBEsol from Alexandria via LeMat-Bulk. Energies are from meta-GGA SCAN.

Unit cell a=8.2886 b=8.2886 c=8.2886 alpha=60.00 beta=60.00 gamma=60.00
Positions (direct):
Y: 0.0000 0.0000 0.0000
Br: 0.7651 0.7651 0.2349
Cs: 0.2500 0.2500 0.2500
Br: 0.2349 0.2349 0.7651
Br: 0.7651 0.2349 0.7651
Br: 0.2349 0.7651 0.7651
Br: 0.2349 0.7651 0.2349
Cs: 0.7500 0.7500 0.7500
Tl: 0.5000 0.5000 0.5000
Br: 0.7651 0.2349 0.2349

uncorrected formation energy = -1.858 eV/atom
total DFT energy (no corrections) = -31.116 eV/atom
D(E_F) = 0.0000 states/eV/atom
M_tot = 0.0 μB per cell

Here is a crystal of ZrGeOs relaxed with PBEsol from Alexandria via LeMat-Bulk. Energies are from meta-GGA SCAN.

Unit cell a=3.7831 b=6.6994 c=6.6994 alpha=120.00 beta=90.00 gamma=90.00
Positions (direct):
Zr: 0.5000 0.4165 0.4165
Os: 0.0000 0.2449 0.0000
Os: 0.0000 0.0000 0.2449
Os: 0.0000 0.7551 0.7551
Ge: 0.0000 0.3333 0.6667
Ge: 0.0000 0.6667 0.3333
Zr: 0.5000 0.0000 0.5835
Ge: 0.5000 0.0000 0.0000
Zr: 0.5000 0.5835 0.0000

total DFT energy (no corrections) = -41.348 eV/atom
D(E_F) = 0.4749 states/eV/atom
formation energy from the elements = -0.792 eV per atom
M_tot = 0.0 μB per cell

Here is a crystal of BaSbCl2 relaxed with PBEsol from Alexandria via LeMat-Bulk. Energies are from meta-GGA SCAN.

Unit cell a=3.6220 b=3.6220 c=10.6432 alpha=80.20 beta=80.20 gamma=60.00
Positions (direct):
Cl: 0.9072 0.9072 0.2783
Cl: 0.0928 0.0928 0.7217
Ba: 0.0000 0.0000 0.0000
Sb: 0.5000 0.5000 0.5000

uncorrected formation energy = -0.567 eV/atom
total DFT energy (no corrections) = -23.759 eV/atom
D(E_F) = 0.3410 states/eV/atom
M_tot = 0.5 μB per cell

Here is a crystal of ErCdAu relaxed with PBEsol from Alexandria via LeMat-Bulk. Energies are from meta-GGA SCAN.

Unit cell a=3.8654 b=7.5782 c=7.5782 alpha=120.00 beta=90.00 gamma=90.00
Positions (direct):
Au: 0.5000 0.6667 0.3333
Cd: 0.5000 0.2617 0.0000
Er: 0.0000 0.0000 0.5965
Cd: 0.5000 0.0000 0.2617
Au: 0.5000 0.3333 0.6667
Au: 0.0000 0.0000 0.0000
Cd: 0.5000 0.7383 0.7383
Er: 0.0000 0.4035 0.4035
Er: 0.0000 0.5965 0.0000

total DFT energy (no corrections) = -50.805 eV/atom
D(E_F) = 0.6636 states/eV/atom
formation energy from the elements = -0.834 eV per atom
M_tot = 0.0 μB per cell